1.
The following is a GGA-PBE calculation of a relaxed structure of Tb6Sm3Ho2Pu, from the Alexandria database.

Unit cell a=6.165 b=6.165 c=11.761 alpha=95.04 beta=95.04 gamma=120.02
Fractional coordinates of all 12 atoms:
Ho (0.333, 0.667, 0.000)
Ho (0.667, 0.333, 0.000)
Tb (0.589, 0.918, 0.754)
Tb (0.752, 0.752, 0.246)
Tb (0.082, 0.411, 0.246)
Tb (0.918, 0.589, 0.754)
Tb (0.248, 0.248, 0.754)
Tb (0.411, 0.082, 0.246)
Pu (0.000, 0.000, 0.000)
Sm (0.167, 0.833, 0.500)
Sm (0.833, 0.167, 0.500)
Sm (0.500, 0.500, 0.500)

**Energy relative to the elements**: 0.04 eV/atom
**Total magnetization**: 6.55 μB per formula unit
**Space-group type**: C2/m
**N(E_F)**: 23.959 states/eV per cell

=====

2.
The following is a GGA-PBE calculation of a relaxed structure of RbPd3Pt, from the Alexandria database.

Unit cell a=4.958 b=4.958 c=4.958 alpha=90.00 beta=90.00 gamma=90.00
Fractional coordinates of all 5 atoms:
Pd (0.500, 0.000, 0.000)
Pd (0.000, 0.000, 0.500)
Pd (0.000, 0.500, 0.000)
Pt (0.500, 0.500, 0.500)
Rb (0.000, 0.000, 0.000)

**Energy relative to the elements**: 1.82 eV/atom
**Total magnetization**: 0.00 μB per formula unit
**Space-group type**: Pm-3m
**N(E_F)**: 5.612 states/eV per cell
**Relative energy among the computed polymorphs**: 1273.8 meV/atom

=====

3.
The following is a GGA-PBE calculation of a relaxed structure of Zn4CdAu, from the Alexandria database.

Unit cell a=3.429 b=7.770 c=8.061 alpha=90.00 beta=102.28 gamma=90.00
Fractional coordinates of all 12 atoms:
Zn (0.500, 0.000, 0.000)
Zn (0.335, 0.457, 0.670)
Zn (0.930, 0.250, 0.859)
Zn (0.500, 0.500, 0.000)
Zn (0.665, 0.957, 0.330)
Zn (0.665, 0.543, 0.330)
Zn (0.070, 0.750, 0.141)
Zn (0.335, 0.043, 0.670)
Au (0.753, 0.250, 0.506)
Au (0.247, 0.750, 0.494)
Cd (0.897, 0.750, 0.794)
Cd (0.103, 0.250, 0.206)

**Energy relative to the elements**: -0.05 eV/atom
**Total magnetization**: 0.00 μB per formula unit
**Space-group type**: Cmcm
**N(E_F)**: 4.480 states/eV per cell
**Relative energy among the computed polymorphs**: 0.0 meV/atom